Here is a relaxed structure of PmPrBeGe from Alexandria. Energies are from GGA-PBE.

a = 5.099 Å, b = 5.099 Å, c = 5.099 Å
α = 60.00°, β = 60.00°, γ = 60.00°
Positions (direct):
Pm 0.000 0.000 0.000
Pr 0.500 0.500 0.500
Be 0.250 0.250 0.250
Ge 0.750 0.750 0.750

Calculated values
- Total energy: -4.707 eV/atom
- D(E_F): 1.5 states/eV per cell
- DFT formation energy: -239 meV per atom
- Magnetization: 0.00 Bohr magnetons per cell

Here is a relaxed structure of Pm12Cu3C5 from Alexandria. Energies are from GGA-PBE.

a = 13.807 Å, b = 13.807 Å, c = 13.807 Å
α = 109.47°, β = 109.47°, γ = 109.47°
Positions (direct):
Pm 0.025 0.205 0.118
Pm 0.025 0.320 0.907
Pm 0.088 0.705 0.680
Pm 0.088 0.882 0.407
Pm 0.093 0.618 0.412
Pm 0.093 0.975 0.680
Pm 0.118 0.025 0.205
Pm 0.118 0.593 0.912
Pm 0.180 0.205 0.588
Pm 0.180 0.475 0.593
Pm 0.205 0.118 0.025
Pm 0.205 0.588 0.180
Pm 0.295 0.320 0.912
Pm 0.295 0.475 0.382
Pm 0.320 0.907 0.025
Pm 0.320 0.912 0.295
Pm 0.382 0.295 0.475
Pm 0.382 0.588 0.907
Pm 0.407 0.088 0.882
Pm 0.407 0.820 0.525
Pm 0.412 0.093 0.618
Pm 0.412 0.820 0.795
Pm 0.475 0.382 0.295
Pm 0.475 0.593 0.180
Pm 0.525 0.407 0.820
Pm 0.525 0.618 0.705
Pm 0.588 0.180 0.205
Pm 0.588 0.907 0.382
Pm 0.593 0.180 0.475
Pm 0.593 0.912 0.118
Pm 0.618 0.412 0.093
Pm 0.618 0.705 0.525
Pm 0.680 0.088 0.705
Pm 0.680 0.093 0.975
Pm 0.705 0.525 0.618
Pm 0.705 0.680 0.088
Pm 0.795 0.412 0.820
Pm 0.795 0.882 0.975
Pm 0.820 0.525 0.407
Pm 0.820 0.795 0.412
Pm 0.882 0.407 0.088
Pm 0.882 0.975 0.795
Pm 0.907 0.025 0.320
Pm 0.907 0.382 0.588
Pm 0.912 0.118 0.593
Pm 0.912 0.295 0.320
Pm 0.975 0.680 0.093
Pm 0.975 0.795 0.882
Cu 0.125 0.250 0.375
Cu 0.125 0.375 0.750
Cu 0.250 0.375 0.125
Cu 0.250 0.875 0.625
Cu 0.375 0.125 0.250
Cu 0.375 0.750 0.125
Cu 0.625 0.250 0.875
Cu 0.625 0.875 0.750
Cu 0.750 0.125 0.375
Cu 0.750 0.625 0.875
Cu 0.875 0.625 0.250
Cu 0.875 0.750 0.625
C 0.000 0.000 0.000
C 0.000 0.000 0.500
C 0.000 0.500 0.000
C 0.000 0.500 0.500
C 0.125 0.750 0.875
C 0.125 0.875 0.250
C 0.250 0.125 0.875
C 0.250 0.625 0.375
C 0.375 0.250 0.625
C 0.375 0.625 0.750
C 0.500 0.000 0.000
C 0.500 0.000 0.500
C 0.500 0.500 0.000
C 0.500 0.500 0.500
C 0.625 0.375 0.250
C 0.625 0.750 0.375
C 0.750 0.375 0.625
C 0.750 0.875 0.125
C 0.875 0.125 0.750
C 0.875 0.250 0.125

Calculated values
- Total energy: -5.703 eV/atom
- D(E_F): 81.4 states/eV per cell
- DFT formation energy: 68 meV per atom
- Magnetization: 0.00 Bohr magnetons per cell

Here is a relaxed structure of BaLaBr2 from Alexandria. Energies are from GGA-PBE.

a = 3.888 Å, b = 3.888 Å, c = 8.092 Å
α = 90.00°, β = 90.00°, γ = 90.00°
Positions (direct):
Ba 0.000 0.000 0.000
La 0.000 0.000 0.500
Br 0.500 0.500 0.282
Br 0.500 0.500 0.718

Calculated values
- Total energy: -3.751 eV/atom
- D(E_F): 2.6 states/eV per cell
- Distance to the lowest polymorph of the same formula: 167 meV/atom
- Magnetization: 0.68 Bohr magnetons per cell

Here is a relaxed structure of Pm15HoSc4 from Alexandria. Energies are from GGA-PBE.

a = 5.044 Å, b = 5.044 Å, c = 25.136 Å
α = 90.00°, β = 90.00°, γ = 90.00°
Positions (direct):
Pm 0.000 0.000 0.000
Pm 0.000 0.000 0.202
Pm 0.000 0.000 0.401
Pm 0.000 0.000 0.599
Pm 0.000 0.000 0.798
Pm 0.000 0.500 0.103
Pm 0.000 0.500 0.301
Pm 0.000 0.500 0.500
Pm 0.000 0.500 0.699
Pm 0.000 0.500 0.897
Pm 0.500 0.000 0.103
Pm 0.500 0.000 0.301
Pm 0.500 0.000 0.500
Pm 0.500 0.000 0.699
Pm 0.500 0.000 0.897
Ho 0.500 0.500 0.000
Sc 0.500 0.500 0.202
Sc 0.500 0.500 0.401
Sc 0.500 0.500 0.599
Sc 0.500 0.500 0.798

Calculated values
- Total energy: -5.029 eV/atom
- D(E_F): 24.3 states/eV per cell
- DFT formation energy: 29 meV per atom
- Magnetization: 0.00 Bohr magnetons per cell